(1)
A relaxed AlHgW crystal. Source: Alexandria, functional GGA-PBE.

```
AlHgW
1.0
4.612 0.000 0.000
-2.306 3.994 0.000
0.000 0.000 2.805
Al Hg W
1 1 1
direct
0.000 0.000 0.000
0.667 0.333 0.000
0.333 0.667 0.500
```

Summary:
density of states at the Fermi level	1.62	states/eV/cell
energy above the most stable polymorph in this dataset	0.52	eV per formula unit
ΔH_f (0 K)	0.5607	eV per atom
V	51.7	Å³/cell
symmetry	P-6m2 (187)
E_tot	-5.105	eV per atom


(2)
A relaxed La3SnC crystal. Source: Alexandria, functional GGA-PBE.

```
La3SnC
1.0
0.000 6.851 6.851
6.851 0.000 6.851
6.851 6.851 0.000
La Sn C
12 4 4
direct
0.075 0.075 0.675
0.075 0.675 0.075
0.075 0.675 0.675
0.325 0.325 0.925
0.325 0.925 0.325
0.325 0.925 0.925
0.675 0.075 0.075
0.675 0.075 0.675
0.675 0.675 0.075
0.925 0.325 0.325
0.925 0.325 0.925
0.925 0.925 0.325
0.000 0.500 0.500
0.500 0.000 0.500
0.500 0.500 0.000
0.500 0.500 0.500
0.000 0.000 0.000
0.000 0.000 0.500
0.000 0.500 0.000
0.500 0.000 0.000
```

Summary:
density of states at the Fermi level	18.50	states/eV/cell
ΔH_f (0 K)	-0.0780	eV per atom
V	643.1	Å³/cell
symmetry	Fd-3m (227)
E_tot	-5.680	eV per atom


(3)
A relaxed LiHoAs2Rh5 crystal. Source: Alexandria, functional GGA-PBE.

```
LiHoAs2Rh5
1.0
4.051 0.000 0.000
0.000 4.051 0.000
0.000 0.000 11.687
Li Ho As Rh
1 1 2 5
direct
0.000 0.000 0.000
0.500 0.500 0.500
0.000 0.000 0.211
0.000 0.000 0.789
0.000 0.000 0.500
0.000 0.500 0.323
0.000 0.500 0.677
0.500 0.000 0.323
0.500 0.000 0.677
```

Summary:
density of states at the Fermi level	8.64	states/eV/cell
ΔH_f (0 K)	-0.3908	eV per atom
V	191.8	Å³/cell
symmetry	P4/mmm (123)
E_tot	-6.229	eV per atom